(1)
Here is ZnAg2Sn after structural relaxation from Alexandria. Energies are from PBE-GGA.

The space group is I-42d (No. 122) and the conventional cell measures 7.762, 7.762 and 5.576 Å, with angles of 90.00, 90.00 and 90.00 degrees. Symmetry generates all atoms from Zn at (0.000, 0.000, 0.000), Ag at (0.219, 0.250, 0.125) and Sn at (0.000, 0.000, 0.500).

The calculation puts the size of the total moment at 0.00 Bohr magnetons per cell. The calculation puts the calculated formation energy at 180 meV per atom. The total energy comes out at -2.56 eV per atom.



(2)
Here is Zn4Ag7Sn after structural relaxation from Alexandria. Energies are from PBE-GGA.

The space group is C2/m (No. 12) and the conventional cell measures 10.652, 5.138 and 9.752 Å, with angles of 90.00, 120.49 and 90.00 degrees. Symmetry generates all atoms from Zn at (0.073, 0.000, 0.268), Zn at (0.220, 0.000, 0.817), Ag at (0.000, 0.000, 0.500), Ag at (0.048, 0.500, 0.883), Ag at (0.156, 0.000, 0.053), Ag at (0.210, 0.500, 0.410) and Sn at (0.000, 0.500, 0.500).

The calculation puts the size of the total moment at 0.00 Bohr magnetons per cell. The calculation puts the calculated formation energy at 147 meV per atom. The total energy comes out at -2.27 eV per atom.



(3)
Here is Zn5Ag6Sn after structural relaxation from Alexandria. Energies are from PBE-GGA.

The space group is P2/m (No. 10) and the conventional cell measures 4.772, 6.200 and 7.058 Å, with angles of 90.00, 99.12 and 90.00 degrees. Symmetry generates all atoms from Zn at (0.000, 0.000, 0.000), Zn at (0.281, 0.000, 0.682), Zn at (0.298, 0.500, 0.670), Ag at (0.222, 0.242, 0.354), Ag at (0.500, 0.237, 0.000) and Sn at (0.000, 0.500, 0.000).

The calculation puts the size of the total moment at 0.00 Bohr magnetons per cell. The calculation puts the calculated formation energy at 4 meV per atom. The total energy comes out at -2.29 eV per atom.



(4)
Here is Zn6Ag8Sn after structural relaxation from Alexandria. Energies are from PBE-GGA.

The space group is R-3 (No. 148, hexagonal axes) and the conventional cell measures 7.6201, 7.6201 and 16.3325 Å, with angles of 90.00, 90.00 and 120.00 degrees. Symmetry generates all atoms from Zn at (0.0140, 0.7265, 0.3772), Ag at (0.0000, 0.0000, 0.2591), Ag at (0.0166, 0.3062, 0.1253) and Sn at (0.0000, 0.0000, 0.0000).

The calculation puts the size of the total moment at 0.00 Bohr magnetons per cell. The calculation puts the calculated formation energy at 56 meV per atom. The total energy comes out at -2.24 eV per atom.